A plane-wave DFT calculation with GGA-PBEsol was carried out for crystalline Re2AgPb at its relaxed geometry.

The space group is Cmm2 (No. 35) and the conventional cell measures 3.032, 4.804 and 9.962 Å, with angles of 90.00, 90.00 and 90.00 degrees. The distinct sites, in fractional coordinates, are Re at (0.000, 0.000, 0.000), Re at (0.000, 0.500, 0.204), Ag at (0.000, 0.000, 0.444) and Pb at (0.000, 0.500, 0.730).

For the formation energy from the elements, the calculation gives 721.9 meV/atom. The value obtained for the calculated volume is 18.14 Å³ per atom. The value obtained for the density of states at the Fermi level is 0.643 states/eV/atom.

A plane-wave DFT calculation with GGA-PBEsol was carried out for crystalline AgRhPb2 at its relaxed geometry.

The space group is Imm2 (No. 44) and the conventional cell measures 3.152, 4.427 and 12.367 Å, with angles of 90.00, 90.00 and 90.00 degrees. The distinct sites, in fractional coordinates, are Ag at (0.000, 0.000, 0.000), Rh at (0.000, 0.500, 0.693), Pb at (0.000, 0.000, 0.390) and Pb at (0.000, 0.500, 0.170).

For the formation energy from the elements, the calculation gives 115.6 meV/atom. The value obtained for the calculated volume is 21.57 Å³ per atom. Its excess energy over the best structure of this formula in the dataset is 0 meV/atom. The value obtained for the density of states at the Fermi level is 0.639 states/eV/atom.

A plane-wave DFT calculation with GGA-PBEsol was carried out for crystalline AgRhPb at its relaxed geometry.

The space group is F-43m (No. 216) and the conventional cell measures 6.281, 6.281 and 6.281 Å, with angles of 90.00, 90.00 and 90.00 degrees. The distinct sites, in fractional coordinates, are Ag at (0.000, 0.000, 0.000), Rh at (0.000, 0.000, 0.500) and Pb at (0.250, 0.250, 0.750).

For the formation energy from the elements, the calculation gives 409.7 meV/atom. The value obtained for the calculated volume is 20.65 Å³ per atom. Its excess energy over the best structure of this formula in the dataset is 229 meV/atom. The value obtained for the density of states at the Fermi level is 0.614 states/eV/atom.